No. 1
KU2Ni2S6 | PBE-GGA | relaxed

The structure in extended XYZ format:
```
11
Lattice="6.969 -0.014 -0.073 3.479 6.114 -0.534 -0.066 -3.856 6.429" Properties=species:S:1:pos:R:3 pbc="T T T"
U 6.914 -1.167 5.082
U 3.469 3.411 0.740
K 3.452 -1.935 3.178
S 6.199 -0.570 2.608
S 2.136 0.279 4.977
S 8.246 1.965 0.845
S 4.789 -2.424 6.041
S 4.183 2.813 3.213
S 5.593 4.668 -0.220
Ni 3.913 1.520 4.923
Ni 6.470 0.724 0.898
```

* formation energy (no corrections): -1009 meV per atom
* calculated density: 5251 kg/m3
* energy: -6.46 eV per atom
* crystal system: triclinic



No. 2
NaThCdIn | PBE-GGA | relaxed

The structure in extended XYZ format:
```
4
Lattice="5.366 0.000 0.000 2.683 4.647 0.000 2.683 1.549 4.381" Properties=species:S:1:pos:R:3 pbc="T T T"
In 2.683 1.549 1.095
Cd 8.049 4.647 3.286
Na 0.000 0.000 0.000
Th 5.366 3.098 2.191
```

* ΔH_f (0 K): -0.069 eV/atom
* calculated density: 7330 kg/m3
* energy: -3.17 eV per atom
* crystal system: cubic



No. 3
Ca2GeHCl | PBE-GGA | relaxed

The structure in extended XYZ format:
```
5
Lattice="-3.553 -0.798 2.947 -2.492 -1.855 -3.507 1.824 -4.372 1.016" Properties=species:S:1:pos:R:3 pbc="T T T"
Ge -2.111 -3.512 0.228
Ca -1.246 -0.927 -1.753
Ca -1.777 -0.399 1.474
Cl 0.912 -2.186 0.508
H 0.000 0.000 0.000
```

* calculated density: 2956 kg/m3
* energy: -3.13 eV per atom
* crystal system: tetragonal



No. 4
CaZr2Cd2 | PBE-GGA | relaxed

The structure in extended XYZ format:
```
10
Lattice="-4.803 -6.157 3.425 0.810 -4.600 -7.134 2.802 -1.478 1.271" Properties=species:S:1:pos:R:3 pbc="T T T"
Zr -0.080 -3.562 0.616
Zr -2.342 -7.431 1.102
Zr 1.151 -4.804 -3.540
Zr -1.112 -8.673 -3.053
Ca 0.000 0.000 0.000
Ca -1.997 -5.379 -1.854
Cd -0.333 -2.505 -2.179
Cd -1.067 -6.265 -4.934
Cd -3.660 -8.253 -1.529
Cd -2.926 -4.492 1.225
```

* ΔH_f (0 K): 0.080 eV/atom
* calculated density: 5986 kg/m3
* energy: -4.11 eV per atom
* crystal system: tetragonal



No. 5
Ce4Pu2Pt5 | PBE-GGA | relaxed

The structure in extended XYZ format:
```
11
Lattice="3.760 0.000 0.000 0.000 8.015 -1.275 0.000 -1.104 9.026" Properties=species:S:1:pos:R:3 pbc="T T T"
Ce 1.880 5.195 2.972
Ce 1.880 4.478 7.413
Ce 1.880 1.716 4.779
Ce 1.880 2.433 0.339
Pt 0.000 -0.552 4.513
Pt 0.000 2.054 7.148
Pt 0.000 2.684 2.628
Pt 0.000 4.857 0.604
Pt 0.000 4.227 5.123
Pu 0.000 -0.197 1.749
Pu 0.000 7.108 6.002
```

* ΔH_f (0 K): -0.818 eV/atom
* calculated density: 12602 kg/m3
* energy: -8.33 eV per atom
* crystal system: monoclinic



No. 6
Ho2ZnPd5 | PBE-GGA | relaxed

The structure in extended XYZ format:
```
8
Lattice="-1.947 5.411 0.371 -3.250 -4.193 2.249 4.639 -1.413 3.112" Properties=species:S:1:pos:R:3 pbc="T T T"
Pd -1.240 -3.655 2.614
Pd 2.707 -2.264 3.046
Pd 0.107 -1.655 4.357
Pd 0.386 -1.558 1.490
Pd -0.587 1.147 1.674
Ho 1.732 0.441 3.232
Ho -2.212 -0.950 2.800
Zn 1.079 -4.354 4.164
```

* ΔH_f (0 K): -0.827 eV/atom
* calculated density: 11054 kg/m3
* energy: -5.38 eV per atom
* crystal system: tetragonal



No. 7
La6Cd5Si | PBE-GGA | relaxed

The structure in extended XYZ format:
```
12
Lattice="-4.965 -2.038 -1.007 1.576 -0.082 -7.606 0.545 -8.747 0.207" Properties=species:S:1:pos:R:3 pbc="T T T"
La -3.645 -4.460 -2.613
La 0.801 -6.406 -5.793
La -0.018 -6.364 -1.841
La -1.264 -1.082 -6.383
La -2.826 -4.503 -6.565
La -2.125 -1.037 -2.229
Si 0.000 0.000 0.000
Cd -3.035 -6.963 -0.554
Cd -2.192 -7.145 -4.344
Cd -0.651 -3.722 -4.062
Cd 0.788 -0.041 -3.803
Cd -1.384 -3.822 -0.246
```

* formation energy (no corrections): -380 meV per atom
* calculated density: 6690 kg/m3
* energy: -3.68 eV per atom
* crystal system: orthorhombic



No. 8
InTc2Cl | PBE-GGA | relaxed

The structure in extended XYZ format:
```
8
Lattice="-2.952 1.128 -6.282 2.093 -6.368 -2.127 -2.869 -3.738 -3.259" Properties=species:S:1:pos:R:3 pbc="T T T"
Tc -3.068 -6.887 -9.636
Tc -2.309 -5.269 -5.765
Tc -2.069 -1.114 -4.513
Tc -0.010 -4.685 -3.424
In 0.000 0.000 0.000
In -3.126 -2.615 -6.873
Cl -0.603 -6.363 -4.796
Cl -0.430 -2.620 -4.205
```

* formation energy (no corrections): 873 meV per atom
* calculated density: 8173 kg/m3
* energy: -5.46 eV per atom
* crystal system: tetragonal



No. 9
BaVS3 | PBE-GGA | relaxed

The structure in extended XYZ format:
```
10
Lattice="5.631 0.004 0.485 -0.003 6.753 -0.044 -0.504 -3.417 5.893" Properties=species:S:1:pos:R:3 pbc="T T T"
S 3.826 3.352 4.329
S 4.178 1.727 1.359
S 0.931 -1.788 5.059
S 1.193 -0.012 1.997
S 4.087 5.128 1.266
S 1.030 1.613 4.983
V -0.429 3.090 5.714
V 2.869 0.249 0.390
Ba 3.886 -0.056 4.260
Ba 1.234 3.396 2.075
```

* formation energy (no corrections): -1364 meV per atom
* calculated density: 4200 kg/m3
* energy: -6.05 eV per atom
* crystal system: orthorhombic



No. 10
Cs2SrRuCl6 | PBE-GGA | relaxed

The structure in extended XYZ format:
```
10
Lattice="-2.549 -4.352 -5.539 -2.359 -5.023 5.032 -7.147 -2.244 -0.014" Properties=species:S:1:pos:R:3 pbc="T T T"
Cl -3.780 -7.221 -0.390
Cl -2.505 -4.507 -3.110
Cl -2.403 -4.869 2.603
Cl -4.990 -3.367 -0.124
Cl -1.128 -2.155 -0.116
Cl -7.065 -8.252 -0.397
Cs -6.075 -5.642 -2.903
Cs -5.980 -5.977 2.383
Sr -2.454 -4.688 -0.253
Ru 0.000 0.000 0.000
```

* formation energy (no corrections): -1592 meV per atom
* calculated density: 3727 kg/m3
* energy: -3.97 eV per atom
* crystal system: cubic



No. 11
CdGa2Ru | PBE-GGA | relaxed

The structure in extended XYZ format:
```
4
Lattice="-2.225 1.338 -1.768 -2.199 -1.003 2.007 0.638 5.840 3.617" Properties=species:S:1:pos:R:3 pbc="T T T"
Cd -1.893 3.088 1.928
Ga 0.509 4.661 2.887
Ga 0.129 1.179 0.730
Ru -2.212 0.168 0.119
```

* ΔH_f (0 K): -0.075 eV/atom
* calculated density: 8608 kg/m3
* energy: -4.14 eV per atom
* crystal system: tetragonal



No. 12
Ho2UAgS6 | PBE-GGA | relaxed

The structure in extended XYZ format:
```
10
Lattice="6.654 0.000 0.000 0.000 6.265 0.000 0.000 0.000 6.265" Properties=species:S:1:pos:R:3 pbc="T T T"
S 5.034 4.740 4.740
S 0.991 0.000 0.000
S 5.034 1.525 4.740
S 5.034 1.525 1.525
S 1.282 3.133 3.133
S 5.034 4.740 1.525
Ho 6.586 0.000 3.133
Ho 6.586 3.133 0.000
Ag 3.376 0.000 0.000
U 3.939 3.133 3.133
```

* formation energy (no corrections): -1085 meV per atom
* calculated density: 5520 kg/m3
* energy: -5.89 eV per atom
* crystal system: tetragonal



- Number 4 is which compound?
  CaZr2Cd2



- Which value of energy does entry 1 give?
  -6.46 eV per atom



- Which of these has the highest calculated density?
  Ce4Pu2Pt5